[1]
# AcGe3, optimized geometry, DFT PBE
data_AcGe3
_symmetry_space_group_name_H-M 'I 4/m m m'
_symmetry_Int_Tables_number 139
_symmetry_space_group_name_Hall '-I 4 2'
_cell_length_a 4.448
_cell_length_b 4.448
_cell_length_c 11.319
_cell_angle_alpha 90.00
_cell_angle_beta 90.00
_cell_angle_gamma 90.00
loop_
_atom_site_label
_atom_site_type_symbol
_atom_site_fract_x
_atom_site_fract_y
_atom_site_fract_z
Ac1 Ac 0.000 0.000 0.000
Ge1 Ge 0.000 0.000 0.285
Ge2 Ge 0.000 0.000 0.500
# Energy of formation in eV/atom: -0.116
# Crystal system: tetragonal
# Final energy in eV per atom: -4.607
# Calculated volume in Å³ per atom: 28.0
# Distance to the lowest polymorph of the same formula in meV/atom: 330.4

[2]
# LaGdScCu, optimized geometry, DFT PBE
data_LaGdScCu
_symmetry_space_group_name_H-M 'F -4 3 m'
_symmetry_Int_Tables_number 216
_symmetry_space_group_name_Hall 'F -4 2 3'
_cell_length_a 7.471
_cell_length_b 7.471
_cell_length_c 7.471
_cell_angle_alpha 90.00
_cell_angle_beta 90.00
_cell_angle_gamma 90.00
loop_
_atom_site_label
_atom_site_type_symbol
_atom_site_fract_x
_atom_site_fract_y
_atom_site_fract_z
La1 La 0.000 0.000 0.000
Gd1 Gd 0.000 0.000 0.500
Sc1 Sc 0.250 0.250 0.250
Cu1 Cu 0.250 0.250 0.750
# Energy of formation in eV/atom: 0.139
# Crystal system: cubic
# Final energy in eV per atom: -7.220
# Calculated volume in Å³ per atom: 26.1

[3]
# AlCd2Se, optimized geometry, DFT PBE
data_AlCd2Se
_symmetry_space_group_name_H-M 'P 4/m m m'
_symmetry_Int_Tables_number 123
_symmetry_space_group_name_Hall '-P 4 2'
_cell_length_a 3.344
_cell_length_b 3.344
_cell_length_c 7.857
_cell_angle_alpha 90.00
_cell_angle_beta 90.00
_cell_angle_gamma 90.00
loop_
_atom_site_label
_atom_site_type_symbol
_atom_site_fract_x
_atom_site_fract_y
_atom_site_fract_z
Al1 Al 0.000 0.000 0.000
Cd1 Cd 0.500 0.500 0.255
Se1 Se 0.000 0.000 0.500
# Crystal system: tetragonal
# Final energy in eV per atom: -2.149
# Calculated volume in Å³ per atom: 22.0
# Distance to the lowest polymorph of the same formula in meV/atom: 323.0

[4]
# NdTi4Cu3O12, optimized geometry, DFT PBE
data_NdTi4Cu3O12
_symmetry_space_group_name_H-M 'I m -3'
_symmetry_Int_Tables_number 204
_symmetry_space_group_name_Hall '-I 2 2 3'
_cell_length_a 7.504
_cell_length_b 7.504
_cell_length_c 7.504
_cell_angle_alpha 90.00
_cell_angle_beta 90.00
_cell_angle_gamma 90.00
loop_
_atom_site_label
_atom_site_type_symbol
_atom_site_fract_x
_atom_site_fract_y
_atom_site_fract_z
Nd1 Nd 0.000 0.000 0.000
Ti1 Ti 0.250 0.250 0.250
Cu1 Cu 0.000 0.000 0.500
O1 O 0.000 0.298 0.178
# Crystal system: cubic
# Final energy in eV per atom: -7.779
# Calculated volume in Å³ per atom: 10.6